[1]
Density functional theory data (PBE) for an optimized crystal structure of BaTb4TmS8. Values from VASP.

```
&SYSTEM
  ibrav = 0, nat = 14, ntyp = 4
/
ATOMIC_SPECIES
Ba 137.33 Ba.upf
Tb 158.93 Tb.upf
Tm 168.93 Tm.upf
S 32.06 S.upf
ATOMIC_POSITIONS crystal
Ba 0.0000 0.0000 0.0000
Tb 0.3743 0.3743 0.8814
Tb 0.3743 0.8814 0.3743
Tb 0.7513 0.7513 0.7513
Tb 0.8814 0.3743 0.3743
Tm 0.3743 0.3743 0.3743
S 0.1435 0.1435 0.1435
S 0.1469 0.1469 0.5714
S 0.1469 0.5714 0.1469
S 0.1494 0.6160 0.6160
S 0.5714 0.1469 0.1469
S 0.6160 0.1494 0.6160
S 0.6160 0.6160 0.1494
S 0.6190 0.6190 0.6190
CELL_PARAMETERS angstrom
4.1333 2.3863 6.6987
-4.1333 2.3863 6.6987
0.0000 -4.7727 6.6987
```

For the total DFT energy (no corrections), the calculation gives -85.48 eV/cell.



[2]
Density functional theory data (PBE) for an optimized crystal structure of BaTb2US8. Values from VASP.

```
&SYSTEM
  ibrav = 0, nat = 12, ntyp = 4
/
ATOMIC_SPECIES
Ba 137.33 Ba.upf
Tb 158.93 Tb.upf
U 238.03 U.upf
S 32.06 S.upf
ATOMIC_POSITIONS crystal
Ba 0.0000 0.0000 0.0000
Tb 0.3771 0.5456 0.3084
Tb 0.6229 0.4544 0.6916
U 0.5000 0.0000 0.5000
S 0.1781 0.3164 0.5894
S 0.1992 0.4602 0.0063
S 0.2252 0.7534 0.6542
S 0.3896 0.9283 0.2278
S 0.6104 0.0717 0.7722
S 0.7748 0.2466 0.3458
S 0.8008 0.5397 0.9937
S 0.8219 0.6836 0.4106
CELL_PARAMETERS angstrom
5.2496 0.0000 0.0000
0.7253 6.9951 0.0000
2.1667 -0.1230 7.9480
```

For the total DFT energy (no corrections), the calculation gives -73.83 eV/cell.